Entry 1:
First-principles (GGA-PBE) data for an optimized crystal structure of Dy8Ho2Tm, as listed in Alexandria via LeMat-Bulk.

Cell: 17.065 6.715 6.413 Å, 90.00 110.03 90.00°
Space group C2/m (No. 12)
One atom of each set of equivalent atoms:
Dy1 0.057 0.000 0.250 [4 per cell]
Dy2 0.103 0.265 0.690 [8 per cell]
Dy3 0.209 0.500 0.321 [4 per cell]
Ho1 0.216 0.000 0.109 [4 per cell]
Tm1 0.000 0.500 0.000 [2 per cell]

Output
**Theoretical density**: 8652 kg/m³
**Electronic total energy**: -0.32291 Ry/atom


Entry 2:
First-principles (GGA-PBE) data for an optimized crystal structure of Li2PaGaO6, as listed in Alexandria via LeMat-Bulk.

Cell: 5.2810 5.2810 14.2780 Å, 90.00 90.00 120.00°
Space group R3 (No. 146, hexagonal axes)
One atom of each set of equivalent atoms:
Li1 0.0000 0.0000 0.0000 [3 per cell]
Li2 0.0000 0.0000 0.4982 [3 per cell]
Pa1 0.0000 0.0000 0.2867 [3 per cell]
Ga1 0.0000 0.0000 0.7852 [3 per cell]
O1 0.0037 0.3667 0.0485 [9 per cell]
O2 0.0126 0.7118 0.8766 [9 per cell]

Output
**Theoretical density**: 5932 kg/m³
**E_form (uncorrected)**: -21.1 eV per formula unit


Entry 3:
First-principles (GGA-PBE) data for an optimized crystal structure of LiHoCu10, as listed in Alexandria via LeMat-Bulk.

Cell: 4.089 4.942 8.557 Å, 90.00 90.00 90.00°
Space group Pmmm (No. 47)
One atom of each set of equivalent atoms:
Li1 0.000 0.000 0.000 [1 per cell]
Ho1 0.000 0.500 0.500 [1 per cell]
Cu1 0.000 0.000 0.320 [2 per cell]
Cu2 0.000 0.500 0.158 [2 per cell]
Cu3 0.500 0.000 0.500 [1 per cell]
Cu4 0.500 0.253 0.251 [4 per cell]
Cu5 0.500 0.500 0.000 [1 per cell]

Output
**Theoretical density**: 7753 kg/m³
**Electronic total energy**: -0.29694 Ry/atom